Entry from Alexandria: crystalline HfFeNO2 at its relaxed geometry (PBE with a Hubbard U).

* electronic total energy: -7.616 eV per atom
* total magnetization: 0.58 μB per atom
* SG: P4/mmm, No. 123

Cell lengths 3.6986, 3.6986, 3.8266 Å; angles 90.00, 90.00, 90.00 degrees
With the nearest neighbours (Å) after each atom.
Fractional coordinates of all 5 atoms:
Hf 0.0000 0.0000 0.0000  4 N 2.62, 8 O 2.66
Fe 0.5000 0.5000 0.5000  4 O 1.85, 2 N 1.91
N 0.5000 0.5000 0.0000  2 Fe 1.91
O 0.0000 0.5000 0.5000  2 Fe 1.85
O 0.5000 0.0000 0.5000  2 Fe 1.85